# ZrV2CdO8

An optimized crystal structure of ZrV2CdO8 (PBE+U, the Alexandria database).

Output
- Crystal system: tetragonal
- E_tot: -0.2733 hartree per atom

Cell lengths 7.0648, 7.0648, 6.2585 Å; angles 90.00, 90.00, 90.00 degrees
Space group I-4m2 (No. 119)
Unique sites:
Zr  0.0000  0.0000  0.0000 [2 per cell]
V  0.0000  0.0000  0.5000 [2 per cell]
V  0.0000  0.5000  0.2500 [2 per cell]
Cd  0.0000  0.5000  0.7500 [2 per cell]
O  0.0000  0.1810  0.6891 [8 per cell]
O  0.0000  0.2993  0.0880 [8 per cell]